Entry 1:
A plane-wave DFT calculation with PBE was carried out for a relaxed structure of CdCuSbIr.

Output
For the distance to the lowest polymorph of the same formula, the calculation gives 0.000 eV/atom. The value obtained for the energy is -4.240 eV/atom. As for the space group: F-43m. Its total magnetization is 0.003 μB/cell.

Unit cell a=4.6284 b=4.6284 c=4.6284 alpha=60.00 beta=60.00 gamma=60.00
Closest atoms and distances in Å follow each position.
Element x y z (fractional)
Cd1 0.0000 0.0000 0.0000  4 Ir 2.83, 4 Cu 2.83
Cu1 0.7500 0.7500 0.7500  4 Sb 2.83, 4 Cd 2.83
Sb1 0.5000 0.5000 0.5000  4 Cu 2.83, 4 Ir 2.83
Ir1 0.2500 0.2500 0.2500  4 Sb 2.83, 4 Cd 2.83


Entry 2:
A plane-wave DFT calculation with PBE was carried out for a relaxed structure of RbTbTe3Pd.

Output
The value obtained for the energy is -4.347 eV/atom. As for the space group: Cmcm. Its total magnetization is 0.007 μB/cell.

Unit cell a=9.3258 b=9.3258 c=10.1721 alpha=90.00 beta=90.00 gamma=152.46
Closest atoms and distances in Å follow each position.
Element x y z (fractional)
Rb1 0.2470 0.7530 0.7500  6 Te 3.62-3.71
Rb2 0.7530 0.2470 0.2500  6 Te 3.62-3.71
Tb1 0.0000 0.0000 0.0000  6 Te 3.07-3.12, 4 Pd 3.38
Tb2 0.0000 0.0000 0.5000  6 Te 3.07-3.12, 4 Pd 3.38
Te1 0.0949 0.9051 0.2500  2 Pd 2.76, 2 Tb 3.07
Te2 0.3892 0.6108 0.0862  1 Pd 2.67
Te3 0.3892 0.6108 0.4138  1 Pd 2.67
Te4 0.6108 0.3892 0.5862  1 Pd 2.67
Te5 0.6108 0.3892 0.9138  1 Pd 2.67
Te6 0.9051 0.0949 0.7500  2 Pd 2.76, 2 Tb 3.07
Pd1 0.4957 0.5043 0.7500  4 Te 2.67-2.76
Pd2 0.5043 0.4957 0.2500  4 Te 2.67-2.76